Pr8Er3Sc2: relaxed, PBE-GGA.

abc: 6.088 8.788 8.788
angles: 84.23 73.53 73.53
Sites, in units of the cell vectors:
1 Pr 0.076 0.851 0.851
2 Sc 0.350 0.295 0.295
3 Er 0.500 0.000 0.000
4 Pr 0.655 0.586 0.081
5 Pr 0.924 0.149 0.149
6 Er 0.000 0.746 0.254
7 Pr 0.345 0.414 0.919
8 Er 0.000 0.254 0.746
9 Pr 0.210 0.558 0.558
10 Sc 0.650 0.705 0.705
11 Pr 0.790 0.442 0.442
12 Pr 0.345 0.919 0.414
13 Pr 0.655 0.081 0.586

Calculated values
Symmetry: C2/m
Polymorph energy (0 for the lowest one) (meV/atom): 0
ρ (g/cm3): 6.6
Energy (Ry per atom): -0.3531